(1)
# ZrBr3Cl

A geometry-optimized ZrBr3Cl structure (PBE, the Alexandria database).

Lattice parameters (Å, degrees): 6.3509 7.3901 7.5652 89.99 90.01 89.98
Fractional coordinates of all 10 atoms:
Zr: 0.1889 0.6871 0.7007
Zr: 0.6889 0.6657 0.2007
Br: 0.9268 0.5156 0.4549
Br: 0.4560 0.3876 0.2008
Br: 0.4266 0.8372 0.9549
Br: 0.4266 0.8371 0.4466
Br: 0.9268 0.5156 0.9467
Br: 0.9559 0.9653 0.7008
Cl: 0.3799 0.4098 0.7009
Cl: 0.8796 0.9431 0.2008

Results
Crystal system: orthorhombic
E above lowest polymorph, kJ/mol of atoms: 1.4
N(E_F), states/eV per cell: 0.00
E_form (uncorrected), meV per atom: -1388.2

***

(2)
# Cu2PdS

A geometry-optimized Cu2PdS structure (PBE, the Alexandria database).

Lattice parameters (Å, degrees): 2.9817 2.9817 7.5591 78.63 78.63 60.00
Fractional coordinates of all 4 atoms:
Pd: 0.4998 0.4998 0.5005
Cu: 0.0755 0.0755 0.7734
Cu: 0.2577 0.2577 0.2268
S: 0.6669 0.6669 0.9993

Results
Crystal system: trigonal
N(E_F), states/eV per cell: 1.32
E_form (uncorrected), meV per atom: 92.5

***

(3)
# ScCuI3

A geometry-optimized ScCuI3 structure (PBE, the Alexandria database).

Lattice parameters (Å, degrees): 5.7339 5.7339 5.7339 90.00 90.00 90.00
Fractional coordinates of all 5 atoms:
I: 0.5000 0.0000 0.0000
I: 0.0000 0.0000 0.5000
I: 0.0000 0.5000 0.0000
Cu: 0.5000 0.5000 0.5000
Sc: 0.0000 0.0000 0.0000

Results
Crystal system: cubic
N(E_F), states/eV per cell: 2.10
E_form (uncorrected), meV per atom: -215.0

***

(4)
# Sm4Ge6Rh7

A geometry-optimized Sm4Ge6Rh7 structure (PBE, the Alexandria database).

Lattice parameters (Å, degrees): 7.3633 7.3633 7.3633 109.47 109.47 109.47
Fractional coordinates of all 17 atoms:
Ge: 0.6748 0.0000 0.6748
Ge: 0.6748 0.6748 0.0000
Ge: 0.3252 0.3252 0.0000
Ge: 0.0000 0.6748 0.6748
Ge: 0.0000 0.3252 0.3252
Ge: 0.3252 0.0000 0.3252
Sm: 0.5000 0.5000 0.5000
Sm: 0.0000 0.0000 0.5000
Sm: 0.5000 0.0000 0.0000
Sm: 0.0000 0.5000 0.0000
Rh: 0.7500 0.2500 0.5000
Rh: 0.2500 0.5000 0.7500
Rh: 0.5000 0.7500 0.2500
Rh: 0.2500 0.7500 0.5000
Rh: 0.0000 0.0000 0.0000
Rh: 0.5000 0.2500 0.7500
Rh: 0.7500 0.5000 0.2500

Results
Formation enthalpy at 0 K, kJ/mol of atoms: -87
Crystal system: cubic
N(E_F), states/eV per cell: 8.20

***

(5)
# Er2GeIr

A geometry-optimized Er2GeIr structure (PBE, the Alexandria database).

Lattice parameters (Å, degrees): 3.5040 3.5040 6.8514 90.00 90.00 90.00
Fractional coordinates of all 4 atoms:
Er: 0.0000 0.0000 0.7640
Er: 0.0000 0.0000 0.2360
Ge: 0.5000 0.5000 0.5000
Ir: 0.5000 0.5000 0.0000

Results
Formation enthalpy at 0 K, kJ/mol of atoms: -74
Crystal system: tetragonal
N(E_F), states/eV per cell: 1.84

***

(6)
# OsAu2Cl

A geometry-optimized OsAu2Cl structure (PBE, the Alexandria database).

Lattice parameters (Å, degrees): 4.6993 4.6993 4.6993 60.00 60.00 60.00
Fractional coordinates of all 4 atoms:
Au: 0.7500 0.7500 0.7500
Au: 0.2500 0.2500 0.2500
Cl: 0.0000 0.0000 0.0000
Os: 0.5000 0.5000 0.5000

Results
Crystal system: cubic
E above lowest polymorph, kJ/mol of atoms: 64.1
N(E_F), states/eV per cell: 3.37
E_form (uncorrected), meV per atom: 1161.7

***

(7)
# BaBTe2I

A geometry-optimized BaBTe2I structure (PBE, the Alexandria database).

Lattice parameters (Å, degrees): 6.7940 6.7940 6.6692 90.00 90.00 90.00
Fractional coordinates of all 5 atoms:
Te: 0.5000 0.0000 0.0000
Te: 0.0000 0.5000 0.0000
Ba: 0.0000 0.0000 0.0000
B: 0.5000 0.5000 0.5000
I: 0.0000 0.0000 0.5000

Results
Crystal system: tetragonal
E above lowest polymorph, kJ/mol of atoms: 111.4
N(E_F), states/eV per cell: 5.05
E_form (uncorrected), meV per atom: 919.9

***

(8)
# Na2SiS2

A geometry-optimized Na2SiS2 structure (PBE, the Alexandria database).

Lattice parameters (Å, degrees): 3.4710 3.4710 9.3106 79.26 79.26 90.00
Fractional coordinates of all 5 atoms:
Na: 0.3855 0.3855 0.2290
Na: 0.6145 0.6145 0.7710
S: 0.2500 0.7500 0.5000
S: 0.7500 0.2500 0.5000
Si: 0.0000 0.0000 0.0000

Results
Crystal system: tetragonal
E above lowest polymorph, kJ/mol of atoms: 16.9
N(E_F), states/eV per cell: 3.33
E_form (uncorrected), meV per atom: 86.9

***

(9)
# BePbO2

A geometry-optimized BePbO2 structure (PBE, the Alexandria database).

Lattice parameters (Å, degrees): 4.9166 5.6255 7.2092 90.00 90.00 90.00
Fractional coordinates of all 16 atoms:
Be: 0.0016 0.5175 0.6300
Be: 0.0016 0.0175 0.8700
Be: 0.5016 0.4825 0.3700
Be: 0.5016 0.9825 0.1300
Pb: 0.9929 0.1194 0.3803
Pb: 0.4929 0.3806 0.8803
Pb: 0.9929 0.6194 0.1197
Pb: 0.4929 0.8806 0.6197
O: 0.1723 0.5037 0.4239
O: 0.5830 0.7368 0.2463
O: 0.1723 0.0037 0.0761
O: 0.0830 0.7632 0.7463
O: 0.5830 0.2368 0.2537
O: 0.0830 0.2632 0.7537
O: 0.6723 0.4963 0.5761
O: 0.6723 0.9963 0.9239

Results
Crystal system: orthorhombic
E above lowest polymorph, kJ/mol of atoms: 0.0
N(E_F), states/eV per cell: 0.00
E_form (uncorrected), meV per atom: -1773.4

***

(10)
# ZrNb3P

A geometry-optimized ZrNb3P structure (PBE, the Alexandria database).

Lattice parameters (Å, degrees): 4.6682 4.6682 4.6682 90.00 90.00 90.00
Fractional coordinates of all 5 atoms:
Nb: 0.5000 0.0000 0.0000
Nb: 0.0000 0.5000 0.0000
Nb: 0.0000 0.0000 0.5000
Zr: 0.5000 0.5000 0.5000
P: 0.0000 0.0000 0.0000

Results
Formation enthalpy at 0 K, kJ/mol of atoms: 0
Crystal system: cubic
E above lowest polymorph, kJ/mol of atoms: 0.0
N(E_F), states/eV per cell: 5.11

***

(11)
# Mn2TcRu

A geometry-optimized Mn2TcRu structure (PBE, the Alexandria database).

Lattice parameters (Å, degrees): 5.2639 5.2639 6.3925 65.69 65.69 90.00
Fractional coordinates of all 8 atoms:
Mn: 0.3750 0.3719 0.7500
Mn: 0.1219 0.6250 0.2500
Mn: 0.8750 0.8781 0.7500
Mn: 0.6281 0.1250 0.2500
Ru: 0.0000 0.0000 0.0000
Ru: 0.7500 0.2500 0.5000
Tc: 0.5000 0.5000 0.0000
Tc: 0.2500 0.7500 0.5000

Results
Formation enthalpy at 0 K, kJ/mol of atoms: 127
Crystal system: tetragonal
N(E_F), states/eV per cell: 11.10

***

(12)
# ThMgZn2

A geometry-optimized ThMgZn2 structure (PBE, the Alexandria database).

Lattice parameters (Å, degrees): 3.4286 3.4286 7.2298 90.00 90.00 90.00
Fractional coordinates of all 4 atoms:
Zn: 0.0000 0.0000 0.7895
Zn: 0.0000 0.0000 0.2105
Th: 0.5000 0.5000 0.5000
Mg: 0.5000 0.5000 0.0000

Results
Formation enthalpy at 0 K, kJ/mol of atoms: -14
Crystal system: tetragonal
E above lowest polymorph, kJ/mol of atoms: 6.7
N(E_F), states/eV per cell: 2.60

***

(13)
# SrCrPb3

A geometry-optimized SrCrPb3 structure (PBE, the Alexandria database).

Lattice parameters (Å, degrees): 6.0630 6.0630 6.0630 90.00 90.00 90.00
Fractional coordinates of all 5 atoms:
Pb: 0.0000 0.5000 0.0000
Pb: 0.0000 0.0000 0.5000
Pb: 0.5000 0.0000 0.0000
Sr: 0.0000 0.0000 0.0000
Cr: 0.5000 0.5000 0.5000

Results
Formation enthalpy at 0 K, kJ/mol of atoms: 114
Crystal system: cubic
E above lowest polymorph, kJ/mol of atoms: 105.0
N(E_F), states/eV per cell: 3.60

***

(14)
# NaAsN3

A geometry-optimized NaAsN3 structure (PBE, the Alexandria database).

Lattice parameters (Å, degrees): 4.1709 4.1709 4.1709 90.00 90.00 90.00
Fractional coordinates of all 5 atoms:
N: 0.5000 0.0000 0.0000
N: 0.0000 0.0000 0.5000
N: 0.0000 0.5000 0.0000
Na: 0.0000 0.0000 0.0000
As: 0.5000 0.5000 0.5000

Results
Crystal system: cubic
N(E_F), states/eV per cell: 1.00
E_form (uncorrected), meV per atom: 2739.1

***

(15)
# Rb4Nd3SnS8

A geometry-optimized Rb4Nd3SnS8 structure (PBE, the Alexandria database).

Lattice parameters (Å, degrees): 8.3945 9.0994 8.3944 117.48 120.00 90.00
Fractional coordinates of all 16 atoms:
Nd: 0.5000 0.5000 0.0000
Nd: 0.0000 0.5000 0.5000
Nd: 0.5000 0.5000 0.5000
Rb: 0.0000 0.0000 0.0000
Rb: 0.5000 0.0000 0.0000
Rb: 0.5000 0.0000 0.5000
Rb: 0.0000 0.0000 0.5000
S: 0.7718 0.3054 0.5437
S: 0.7384 0.6945 0.9665
S: 0.2671 0.3014 0.5342
S: 0.2281 0.6945 0.9665
S: 0.7719 0.3055 0.0335
S: 0.2616 0.3055 0.0335
S: 0.7329 0.6986 0.4658
S: 0.2282 0.6946 0.4563
Sn: 0.0000 0.5000 0.0000

Results
Crystal system: trigonal
N(E_F), states/eV per cell: 1.75
E_form (uncorrected), meV per atom: -1534.1

***

(16)
# CsZnTc

A geometry-optimized CsZnTc structure (PBE, the Alexandria database).

Lattice parameters (Å, degrees): 3.8872 5.1598 11.2495 78.51 80.22 90.13
Fractional coordinates of all 6 atoms:
Zn: 0.8912 0.8695 0.3905
Zn: 0.9769 0.5332 0.2228
Tc: 0.8591 0.3478 0.4605
Tc: 0.4077 0.2540 0.3613
Cs: 0.2543 0.7447 0.6713
Cs: 0.5582 0.0844 0.0560

Results
Formation enthalpy at 0 K, kJ/mol of atoms: 54
Crystal system: triclinic
E above lowest polymorph, kJ/mol of atoms: 24.2
N(E_F), states/eV per cell: 4.70

***

(17)
# BaBeSbI2

A geometry-optimized BaBeSbI2 structure (PBE, the Alexandria database).

Lattice parameters (Å, degrees): 6.6850 6.6850 7.3359 90.00 90.00 90.00
Fractional coordinates of all 5 atoms:
Be: 0.5000 0.5000 0.5000
Sb: 0.0000 0.0000 0.5000
Ba: 0.0000 0.0000 0.0000
I: 0.0000 0.5000 0.0000
I: 0.5000 0.0000 0.0000

Results
Crystal system: tetragonal
E above lowest polymorph, kJ/mol of atoms: 76.3
N(E_F), states/eV per cell: 4.92
E_form (uncorrected), meV per atom: 348.0

***

(18)
# CeSmAsSe

A geometry-optimized CeSmAsSe structure (PBE, the Alexandria database).

Lattice parameters (Å, degrees): 4.2055 4.2055 7.3166 73.30 73.30 60.00
Fractional coordinates of all 4 atoms:
Ce: 0.1915 0.1915 0.4254
As: 0.4436 0.4436 0.6691
Sm: 0.6966 0.6966 0.9101
Se: 0.9446 0.9446 0.1662

Results
Crystal system: trigonal
N(E_F), states/eV per cell: 6.75
E_form (uncorrected), meV per atom: -1690.6

***

(19)
# In2TcIr

A geometry-optimized In2TcIr structure (PBE, the Alexandria database).

Lattice parameters (Å, degrees): 2.9688 2.9132 8.6962 80.34 90.00 90.00
Fractional coordinates of all 4 atoms:
In: 0.5000 0.0432 0.2882
In: 0.0000 0.2068 0.9615
Ir: 0.0000 0.4228 0.5296
Tc: 0.5000 0.8271 0.7207

Results
Formation enthalpy at 0 K, kJ/mol of atoms: 3
Crystal system: orthorhombic
E above lowest polymorph, kJ/mol of atoms: 0.0
N(E_F), states/eV per cell: 1.80